[1]
VASP calculation (PBE) on crystalline Cr2CoW at its relaxed geometry.

The structure belongs to space group Pmmm (No. 47); the cell edges are 3.0140, 4.1163 and 4.1359 Å and the angles 90.00°, 90.00° and 90.00°. The inequivalent atoms are Cr at (0.0000, 0.0000, 0.0000), Cr at (0.5000, 0.0000, 0.5000), Co at (0.0000, 0.5000, 0.5000) and W at (0.5000, 0.5000, 0.0000).

Its density is 11.2 g cm⁻³. As for the energy above the most stable polymorph in this dataset: 0 meV per atom. As for the calculated volume: 12.83 A^3/atom. The calculation puts the formation energy at 0.14 eV/atom.

***

[2]
VASP calculation (PBE) on crystalline CrCo6W at its relaxed geometry.

The structure belongs to space group Amm2 (No. 38); the cell edges are 3.5450, 7.1016 and 7.1985 Å and the angles 90.00°, 90.00° and 90.00°. The inequivalent atoms are Cr at (0.0000, 0.0000, 0.0000), Co at (0.0000, 0.0000, 0.5306), Co at (0.0000, 0.2463, 0.7731), Co at (0.5000, 0.0000, 0.7774), Co at (0.5000, 0.2414, 0.0275) and W at (0.5000, 0.0000, 0.2890).

Its density is 10.8 g cm⁻³. As for the energy above the most stable polymorph in this dataset: 77 meV per atom. As for the calculated volume: 11.33 A^3/atom. The calculation puts the formation energy at 0.08 eV/atom.

***

[3]
VASP calculation (PBE) on crystalline CrCoW2 at its relaxed geometry.

The structure belongs to space group I-4m2 (No. 119); the cell edges are 3.6987, 3.6987 and 8.0542 Å and the angles 90.00°, 90.00° and 90.00°. The inequivalent atoms are Cr at (0.0000, 0.0000, 0.0000), Co at (0.0000, 0.5000, 0.2500), W at (0.0000, 0.0000, 0.5000) and W at (0.0000, 0.5000, 0.7500).

Its density is 14.4 g cm⁻³. As for the energy above the most stable polymorph in this dataset: 116 meV per atom. As for the calculated volume: 13.77 A^3/atom. The calculation puts the formation energy at 0.26 eV/atom.

***

[4]
VASP calculation (PBE) on crystalline Cr2CoW at its relaxed geometry.

The structure belongs to space group P4/mmm (No. 123); the cell edges are 2.5579, 2.5579 and 7.7488 Å and the angles 90.00°, 90.00° and 90.00°. The inequivalent atoms are Cr at (0.0000, 0.0000, 0.2187), Co at (0.5000, 0.5000, 0.0000) and W at (0.5000, 0.5000, 0.5000).

Its density is 11.4 g cm⁻³. As for the energy above the most stable polymorph in this dataset: 79 meV per atom. As for the calculated volume: 12.67 A^3/atom. The calculation puts the formation energy at 0.22 eV/atom.

***

[5]
VASP calculation (PBE) on crystalline CrCoW at its relaxed geometry.

The structure belongs to space group I4mm (No. 107); the cell edges are 2.5976, 2.5976 and 11.3998 Å and the angles 90.00°, 90.00° and 90.00°. The inequivalent atoms are Cr at (0.0000, 0.0000, 0.0000), Co at (0.0000, 0.0000, 0.6409) and W at (0.0000, 0.0000, 0.3126).

Its density is 12.7 g cm⁻³. As for the energy above the most stable polymorph in this dataset: 60 meV per atom. As for the calculated volume: 12.82 A^3/atom. The calculation puts the formation energy at 0.14 eV/atom.

***

[6]
VASP calculation (PBE) on crystalline CrCoW2 at its relaxed geometry.

The structure belongs to space group P2/m (No. 10); the cell edges are 2.6485, 4.1608 and 5.1387 Å and the angles 90.00°, 100.42° and 90.00°. The inequivalent atoms are Cr at (0.0000, 0.0000, 0.0000), Co at (0.5000, 0.0000, 0.5000) and W at (0.2400, 0.5000, 0.7515).

Its density is 14.3 g cm⁻³. As for the energy above the most stable polymorph in this dataset: 64 meV per atom. As for the calculated volume: 13.92 A^3/atom. The calculation puts the formation energy at 0.21 eV/atom.